[1]
This record from Alexandria via LeMat-Bulk describes a relaxed structure of Y2NbAl2. The functional is PBE-GGA.

Output
The uncorrected energy comes out at -6.223 eV/atom. As for the density of states at the Fermi level: 5.52 states/eV/f.u.

Cell lengths 7.3354, 7.3354, 4.3471 Å; angles 90.00, 90.00, 90.00 degrees
Last column: magnetic moment on the atom in μB.
Fractional positions:
Nb 0.0000 0.0000 0.0000  0.85
Y 0.6773 0.8227 0.5000  0.04
Y 0.8227 0.3227 0.5000  0.04
Al 0.3717 0.8717 0.0000  -0.01
Nb 0.5000 0.5000 0.0000  0.85
Al 0.6283 0.1283 0.0000  -0.01
Y 0.1773 0.6773 0.5000  0.04
Al 0.1283 0.3717 0.0000  -0.01
Y 0.3227 0.1773 0.5000  0.04
Al 0.8717 0.6283 0.0000  -0.01

=====

[2]
This record from Alexandria via LeMat-Bulk describes a relaxed structure of YNb3Al. The functional is PBE-GGA.

Output
As for the excess energy over the best structure of this formula in the dataset: 1089 meV/atom. The uncorrected energy comes out at -6.145 eV/atom. As for the density of states at the Fermi level: 5.07 states/eV/f.u.

Cell lengths 4.9229, 4.9229, 4.9229 Å; angles 90.00, 90.00, 90.00 degrees
Fractional positions:
Y 0.0000 0.0000 0.0000
Nb 0.0000 0.0000 0.5000
Nb 0.5000 0.0000 0.0000
Al 0.5000 0.5000 0.5000
Nb 0.0000 0.5000 0.0000

=====

> Which of these has the highest uncorrected energy?

YNb3Al